1.
Material: Sr2LaW2
Method: DFT, meta-GGA SCAN
State: PBEsol geometry

abc: 4.6409 4.6409 13.8194
angles: 90.00 90.00 90.00
With the nearest neighbours (Å) after each atom.
Space group I4/mmm (No. 139)
Symmetry-distinct sites (fractional):
Sr (0.0000, 0.5000, 0.2500) [4 per cell]  4 Sr 3.28, 4 W 3.30
La (0.0000, 0.0000, 0.0000) [2 per cell]  8 W 3.46
W (0.0000, 0.0000, 0.4197) [4 per cell]  1 W 2.22

Calculated values
Formation energy from the elements: 1.204 eV/atom



2.
Material: Sr4LaW
Method: DFT, meta-GGA SCAN
State: PBEsol geometry

abc: 9.6747 9.6747 9.6747
angles: 90.00 90.00 90.00
With the nearest neighbours (Å) after each atom.
Space group F-43m (No. 216)
Symmetry-distinct sites (fractional):
Sr (0.1242, 0.1242, 0.3758) [16 per cell]  6 Sr 3.40-3.44
La (0.0000, 0.0000, 0.0000) [4 per cell]  12 Sr 4.01, 4 W 4.19
W (0.2500, 0.2500, 0.7500) [4 per cell]  12 Sr 4.01, 4 La 4.19

Calculated values
Formation energy from the elements: 1.268 eV/atom



3.
Material: SrLa2Y
Method: DFT, meta-GGA SCAN
State: PBEsol geometry

abc: 3.6730 3.6730 10.8320
angles: 90.00 90.00 90.00
With the nearest neighbours (Å) after each atom.
Space group P4/mmm (No. 123)
Symmetry-distinct sites (fractional):
Sr (0.0000, 0.0000, 0.0000) [1 per cell]  4 Sr 3.67, 8 La 3.96
La (0.5000, 0.5000, 0.2755) [2 per cell]  4 Y 3.56, 4 La 3.67, 4 Sr 3.96
Y (0.0000, 0.0000, 0.5000) [1 per cell]  8 La 3.56, 4 Y 3.67

Calculated values
Formation energy from the elements: 0.105 eV/atom
ΔE to the lowest computed polymorph: 12 meV/atom



4.
Material: SrLa2Y
Method: DFT, meta-GGA SCAN
State: PBEsol geometry

abc: 3.7072 5.0388 7.8633
angles: 90.00 90.00 90.00
With the nearest neighbours (Å) after each atom.
Space group Pmmm (No. 47)
Symmetry-distinct sites (fractional):
Sr (0.0000, 0.0000, 0.0000) [1 per cell]  2 Sr 3.71, 8 La 3.85, 2 Y 3.93
La (0.5000, 0.5000, 0.2865) [2 per cell]  3 La 3.36-3.71, 4 Y 3.55
Y (0.0000, 0.0000, 0.5000) [1 per cell]  8 La 3.55, 2 Y 3.71, 2 Sr 3.93

Calculated values
Formation energy from the elements: 0.109 eV/atom
ΔE to the lowest computed polymorph: 16 meV/atom



5.
Material: SrLa2Y
Method: DFT, meta-GGA SCAN
State: PBEsol geometry

abc: 3.6949 3.6949 36.8256
angles: 90.00 90.00 120.00
With the nearest neighbours (Å) after each atom.
Space group R-3m (No. 166, hexagonal axes)
Symmetry-distinct sites (fractional):
Sr (0.0000, 0.0000, 0.0000) [3 per cell]  6 Sr 3.69, 6 La 3.93
La (0.0000, 0.0000, 0.2437) [6 per cell]  3 Y 3.55, 6 La 3.69, 3 Sr 3.93
Y (0.0000, 0.0000, 0.5000) [3 per cell]  6 La 3.55, 6 Y 3.69

Calculated values
Formation energy from the elements: 0.093 eV/atom
ΔE to the lowest computed polymorph: 0 meV/atom



6.
Material: SrLaY2
Method: DFT, meta-GGA SCAN
State: PBEsol geometry

abc: 3.6548 3.6548 10.6227
angles: 90.00 90.00 90.00
With the nearest neighbours (Å) after each atom.
Space group P4mm (No. 99)
Symmetry-distinct sites (fractional):
Sr (0.0000, 0.0000, 0.0000) [1 per cell]  4 Sr 3.65, 4 Y 3.86, 4 La 3.96
La (0.5000, 0.5000, 0.7174) [1 per cell]  4 Y 3.55, 4 La 3.65, 4 Sr 3.96
Y (0.0000, 0.0000, 0.4887) [1 per cell]  8 Y 3.48-3.65, 4 La 3.55
Y (0.5000, 0.5000, 0.2697) [1 per cell]  8 Y 3.48-3.65, 4 Sr 3.86

Calculated values
Formation energy from the elements: 0.114 eV/atom



7.
Material: SrLaY4
Method: DFT, meta-GGA SCAN
State: PBEsol geometry

abc: 9.5125 9.5125 9.5125
angles: 90.00 90.00 90.00
With the nearest neighbours (Å) after each atom.
Space group F-43m (No. 216)
Symmetry-distinct sites (fractional):
Sr (0.0000, 0.0000, 0.0000) [4 per cell]  12 Y 3.95, 4 La 4.12
La (0.2500, 0.2500, 0.2500) [4 per cell]  12 Y 3.94, 4 Sr 4.12
Y (0.1228, 0.1228, 0.6228) [16 per cell]  6 Y 3.30-3.42

Calculated values
Formation energy from the elements: 0.273 eV/atom



8.
Material: SrLa2Y
Method: DFT, meta-GGA SCAN
State: PBEsol geometry

abc: 8.3772 8.3772 8.3772
angles: 90.00 90.00 90.00
With the nearest neighbours (Å) after each atom.
Space group F-43m (No. 216)
Symmetry-distinct sites (fractional):
Sr (0.0000, 0.0000, 0.0000) [4 per cell]  4 La 3.63, 4 Y 3.63
La (0.0000, 0.0000, 0.5000) [4 per cell]  4 La 3.63, 4 Y 3.63
La (0.2500, 0.2500, 0.2500) [4 per cell]  4 La 3.63, 4 Sr 3.63
Y (0.2500, 0.2500, 0.7500) [4 per cell]  4 Sr 3.63, 4 La 3.63

Calculated values
Formation energy from the elements: 0.200 eV/atom
ΔE to the lowest computed polymorph: 107 meV/atom